(1)
Here is TaZnAs2 after structural relaxation from Alexandria via LeMat-Bulk. Energies are from PBE.

Unit cell a=7.606 b=7.606 c=7.606 alpha=25.82 beta=25.82 gamma=25.82
Atoms (fractional coordinates):
Zn 0.750 0.750 0.750
As 0.502 0.502 0.502
As 0.998 0.998 0.998
Ta 0.250 0.250 0.250

Values from the calculation:
The value obtained for the formation energy is -0.125 eV/atom. Its crystal system is trigonal. The density comes out at 8.95 g/cm3. Its space-group type is R-3m. The calculated total energy is -5.73 eV/atom.

(2)
Here is Dy5PaIr4 after structural relaxation from Alexandria via LeMat-Bulk. Energies are from PBE.

Unit cell a=4.113 b=7.530 c=9.339 alpha=113.77 beta=102.72 gamma=90.00
Atoms (fractional coordinates):
Dy 0.500 0.500 0.000
Dy 0.167 0.410 0.333
Dy 0.166 0.922 0.333
Dy 0.833 0.590 0.667
Dy 0.834 0.078 0.667
Pa 0.500 0.000 0.000
Ir 0.000 0.756 0.000
Ir 0.306 0.806 0.612
Ir 0.000 0.244 0.000
Ir 0.694 0.194 0.388

Values from the calculation:
The value obtained for the formation energy is -0.720 eV/atom. Its crystal system is orthorhombic. The density comes out at 11.71 g/cm3. Its space-group type is Immm. The calculated total energy is -7.52 eV/atom.

(3)
Here is BTe2AsN after structural relaxation from Alexandria via LeMat-Bulk. Energies are from PBE.

Unit cell a=6.238 b=6.238 c=2.746 alpha=90.00 beta=90.00 gamma=90.00
Atoms (fractional coordinates):
N 0.000 0.000 0.500
Te 0.500 0.000 0.000
Te 0.000 0.500 0.000
B 0.000 0.000 0.000
As 0.500 0.500 0.500

Values from the calculation:
Its crystal system is tetragonal. The density comes out at 5.52 g/cm3. Its space-group type is P4/mmm. The calculated total energy is -4.85 eV/atom. As for the uncorrected formation energy: 341 meV per atom.

(4)
Here is ThZr2Zn after structural relaxation from Alexandria via LeMat-Bulk. Energies are from PBE.

Unit cell a=3.412 b=3.412 c=7.989 alpha=90.00 beta=90.00 gamma=90.00
Atoms (fractional coordinates):
Zr 0.000 0.000 0.795
Zr 0.000 0.000 0.205
Zn 0.500 0.500 0.000
Th 0.500 0.500 0.500

Values from the calculation:
The value obtained for the formation energy is -0.058 eV/atom. Its crystal system is tetragonal. The density comes out at 8.57 g/cm3. Its space-group type is P4/mmm. The calculated total energy is -6.51 eV/atom.

(5)
Here is ScBeAg after structural relaxation from Alexandria via LeMat-Bulk. Energies are from PBE.

Unit cell a=4.241 b=4.241 c=4.241 alpha=60.00 beta=60.00 gamma=60.00
Atoms (fractional coordinates):
Be 0.750 0.750 0.750
Ag 0.500 0.500 0.500
Sc 0.000 0.000 0.000

Values from the calculation:
The value obtained for the formation energy is 0.181 eV/atom. Its crystal system is cubic. The density comes out at 4.98 g/cm3. Its space-group type is F-43m. The calculated total energy is -4.12 eV/atom.

(6)
Here is LaZr3Pb after structural relaxation from Alexandria via LeMat-Bulk. Energies are from PBE.

Unit cell a=5.483 b=5.483 c=5.483 alpha=90.00 beta=90.00 gamma=90.00
Atoms (fractional coordinates):
Zr 0.500 0.000 0.000
Zr 0.000 0.000 0.500
Zr 0.000 0.500 0.000
Pb 0.000 0.000 0.000
La 0.500 0.500 0.500

Values from the calculation:
The value obtained for the formation energy is 0.824 eV/atom. Its crystal system is cubic. The density comes out at 6.24 g/cm3. Its space-group type is Pm-3m. The calculated total energy is -6.03 eV/atom.

(7)
Here is ScAgSb2 after structural relaxation from Alexandria via LeMat-Bulk. Energies are from PBE.

Unit cell a=3.544 b=4.053 c=6.470 alpha=90.00 beta=90.00 gamma=90.00
Atoms (fractional coordinates):
Sc 0.500 0.500 0.250
Sb 0.000 0.000 0.492
Sb 0.000 0.000 0.008
Ag 0.500 0.500 0.750

Values from the calculation:
Its crystal system is orthorhombic. The density comes out at 7.08 g/cm3. Its space-group type is Pmmm. The calculated total energy is -4.64 eV/atom. As for the uncorrected formation energy: -281 meV per atom.

(8)
Here is Be2AlAs after structural relaxation from Alexandria via LeMat-Bulk. Energies are from PBE.

Unit cell a=3.567 b=4.229 c=3.527 alpha=90.00 beta=90.00 gamma=90.00
Atoms (fractional coordinates):
Al 0.500 0.000 0.500
As 0.000 0.500 0.500
Be 0.500 0.500 0.000
Be 0.000 0.000 0.000

Values from the calculation:
The value obtained for the formation energy is 0.394 eV/atom. Its crystal system is orthorhombic. The density comes out at 3.74 g/cm3. Its space-group type is Pmmm. The calculated total energy is -3.57 eV/atom.

(9)
Here is Dy2MnTl after structural relaxation from Alexandria via LeMat-Bulk. Energies are from PBE.

Unit cell a=5.216 b=5.216 c=5.216 alpha=60.00 beta=60.00 gamma=60.00
Last column: magnetic moment on the atom in μB.
Atoms (fractional coordinates):
Dy 0.250 0.250 0.250  -0.23
Dy 0.750 0.750 0.750  -0.23
Tl 0.500 0.500 0.500  0.00
Mn 0.000 0.000 0.000  3.68

Values from the calculation:
The value obtained for the formation energy is -0.017 eV/atom. Its crystal system is cubic. The density comes out at 9.67 g/cm3. Its space-group type is Fm-3m. The calculated total energy is -5.20 eV/atom.

(10)
Here is Fe2Co15Pt2 after structural relaxation from Alexandria via LeMat-Bulk. Energies are from PBE.

Unit cell a=6.158 b=6.158 c=6.158 alpha=82.00 beta=82.00 gamma=82.00
Last column: magnetic moment on the atom in μB.
Atoms (fractional coordinates):
Co 0.641 0.156 0.641  1.76
Co 0.844 0.359 0.359  1.76
Co 0.641 0.641 0.156  1.76
Co 0.359 0.844 0.359  1.76
Co 0.000 0.500 0.000  1.66
Co 0.705 0.295 0.000  1.66
Co 0.000 0.000 0.500  1.66
Co 0.705 0.000 0.295  1.66
Co 0.295 0.705 0.000  1.66
Co 0.500 0.000 0.000  1.66
Co 0.359 0.359 0.844  1.76
Co 0.000 0.295 0.705  1.66
Co 0.295 0.000 0.705  1.66
Co 0.000 0.705 0.295  1.66
Co 0.156 0.641 0.641  1.76
Pt 0.327 0.327 0.327  0.39
Pt 0.673 0.673 0.673  0.39
Fe 0.102 0.102 0.102  2.72
Fe 0.898 0.898 0.898  2.72

Values from the calculation:
The value obtained for the formation energy is 0.111 eV/atom. Its crystal system is trigonal. The density comes out at 10.12 g/cm3. Its space-group type is R-3m. The calculated total energy is -7.03 eV/atom.

(11)
Here is CaAc5Cd4 after structural relaxation from Alexandria via LeMat-Bulk. Energies are from PBE.

Unit cell a=4.110 b=4.110 c=21.168 alpha=90.00 beta=90.00 gamma=90.00
Atoms (fractional coordinates):
Ac 0.500 0.500 0.309
Ac 0.500 0.500 0.121
Ac 0.500 0.500 0.879
Ac 0.500 0.500 0.691
Ac 0.500 0.500 0.500
Cd 0.000 0.000 0.404
Cd 0.000 0.000 0.596
Cd 0.000 0.000 0.212
Cd 0.000 0.000 0.788
Ca 0.000 0.000 0.000

Values from the calculation:
The value obtained for the formation energy is -0.222 eV/atom. Its crystal system is tetragonal. The density comes out at 7.54 g/cm3. Its space-group type is P4/mmm. The calculated total energy is -2.84 eV/atom.

(12)
Here is CaReS2N after structural relaxation from Alexandria via LeMat-Bulk. Energies are from PBE.

Unit cell a=5.182 b=5.182 c=4.338 alpha=90.00 beta=90.00 gamma=90.00
Last column: magnetic moment on the atom in μB.
Atoms (fractional coordinates):
S 0.500 0.000 0.000  -0.22
S 0.000 0.500 0.000  -0.22
Re 0.500 0.500 0.500  3.88
N 0.000 0.000 0.500  -1.33
Ca 0.000 0.000 0.000  -0.02

Values from the calculation:
Its crystal system is tetragonal. The density comes out at 4.34 g/cm3. Its space-group type is P4/mmm. The calculated total energy is -4.63 eV/atom. As for the uncorrected formation energy: 1576 meV per atom.